Record 1
Entry from the Alexandria database: an optimized crystal structure of SiTe2Cl (PBEsol).

Output
The total energy comes out at -3.42 eV per atom. As for the distance to the lowest polymorph of the same formula: 0.316 eV/atom. Its formation energy without anion corrections is 282 meV/atom.

a = 4.2032 Å, b = 4.2032 Å, c = 5.4810 Å
α = 90.00°, β = 90.00°, γ = 90.00°
Atoms (fractional coordinates):
Si  0.0000  0.0000  0.0000
Te  0.0000  0.5000  0.5000
Te  0.5000  0.0000  0.5000
Cl  0.5000  0.5000  0.0000

=====

Record 2
Entry from the Alexandria database: an optimized crystal structure of Ti5MnP6O24 (PBEsol).

Output
The total energy comes out at -8.33 eV per atom. Its formation energy without anion corrections is -2438 meV/atom.

a = 8.2354 Å, b = 8.2354 Å, c = 8.2354 Å
α = 64.22°, β = 64.22°, γ = 64.22°
Atoms (fractional coordinates):
Ti  0.0000  0.0000  0.0000
Ti  0.1322  0.1322  0.1322
Ti  0.4977  0.4977  0.4977
Ti  0.6333  0.6333  0.6333
Ti  0.7755  0.7755  0.7755
Mn  0.2791  0.2791  0.2791
P  0.0890  0.3869  0.6757
P  0.1753  0.8882  0.5929
P  0.3869  0.6757  0.0890
P  0.5929  0.1753  0.8882
P  0.6757  0.0890  0.3869
P  0.8882  0.5929  0.1753
O  0.0230  0.7970  0.6514
O  0.0283  0.3921  0.1802
O  0.0770  0.2406  0.8806
O  0.1130  0.3079  0.5316
O  0.1382  0.9633  0.7490
O  0.1802  0.0283  0.3921
O  0.2406  0.8806  0.0770
O  0.2492  0.4629  0.6272
O  0.3079  0.5316  0.1130
O  0.3788  0.7367  0.5777
O  0.3921  0.1802  0.0283
O  0.4629  0.6272  0.2492
O  0.5316  0.1130  0.3079
O  0.5388  0.6982  0.8864
O  0.5777  0.3788  0.7367
O  0.6272  0.2492  0.4629
O  0.6514  0.0230  0.7970
O  0.6982  0.8864  0.5388
O  0.7367  0.5777  0.3788
O  0.7490  0.1382  0.9633
O  0.7970  0.6514  0.0230
O  0.8806  0.0770  0.2406
O  0.8864  0.5388  0.6982
O  0.9633  0.7490  0.1382

=====

Record 3
Entry from the Alexandria database: an optimized crystal structure of EuMg5 (PBEsol).

Output
The total energy comes out at -3.23 eV per atom. For the calculated formation energy, the calculation gives -0.035 eV per atom.

a = 6.0394 Å, b = 6.0394 Å, c = 4.9928 Å
α = 90.00°, β = 90.00°, γ = 120.00°
Atoms (fractional coordinates):
Eu  0.0000  0.0000  0.0000
Mg  0.0000  0.4851  0.5000
Mg  0.3333  0.6667  0.0000
Mg  0.4851  0.0000  0.5000
Mg  0.5149  0.5149  0.5000
Mg  0.6667  0.3333  0.0000

=====

Record 4
Entry from the Alexandria database: an optimized crystal structure of MnOs2Cl (PBEsol).

Output
The total energy comes out at -8.68 eV per atom. As for the distance to the lowest polymorph of the same formula: 0.000 eV/atom. Its formation energy without anion corrections is 367 meV/atom.

a = 2.8179 Å, b = 7.5132 Å, c = 7.5132 Å
α = 21.66°, β = 90.00°, γ = 90.00°
Atoms (fractional coordinates):
Mn  0.0000  0.0000  0.0000
Os  0.0000  0.7604  0.7604
Os  0.5000  0.3709  0.3709
Cl  0.5000  0.6170  0.6170

=====

Record 5
Entry from the Alexandria database: an optimized crystal structure of TiGeO3 (PBEsol).

Output
The total energy comes out at -7.81 eV per atom. Its formation energy without anion corrections is -2011 meV/atom.

a = 3.8428 Å, b = 3.8428 Å, c = 3.8428 Å
α = 90.00°, β = 90.00°, γ = 90.00°
Atoms (fractional coordinates):
Ti  0.0000  0.0000  0.0000
Ge  0.5000  0.5000  0.5000
O  0.0000  0.0000  0.5000
O  0.0000  0.5000  0.0000
O  0.5000  0.0000  0.0000

=====

Record 6
Entry from the Alexandria database: an optimized crystal structure of BaCoSe2 (PBEsol).

Output
The total energy comes out at -4.87 eV per atom. Its formation energy without anion corrections is -474 meV/atom.

a = 4.0529 Å, b = 4.0529 Å, c = 7.4388 Å
α = 90.00°, β = 90.00°, γ = 123.21°
Atoms (fractional coordinates):
Ba  0.0000  0.0000  0.0000
Co  0.0000  0.0000  0.5000
Se  0.5000  0.5000  0.3133
Se  0.5000  0.5000  0.6867